BaCeNbN4 | PBE-GGA | relaxed

Cell and atoms, written as POSCAR:
```
BaCeNbN4
1.0
5.6094 0.0000 0.0000
0.0000 5.8765 0.0000
-2.8047 0.0000 7.0445
N Ce Ba Nb
8 2 2 2
direct
0.5000 0.5000 0.5000 N
0.0000 0.5000 0.5000 N
0.0000 0.0000 0.5000 N
0.4086 0.7500 0.8172 N
0.5000 0.0000 0.5000 N
0.0437 0.7500 0.0873 N
0.9563 0.2500 0.9127 N
0.5914 0.2500 0.1828 N
0.0972 0.2500 0.1944 Ce
0.9028 0.7500 0.8056 Ce
0.6005 0.7500 0.2010 Ba
0.3995 0.2500 0.7990 Ba
0.2741 0.7500 0.5481 Nb
0.7259 0.2500 0.4519 Nb
```

Calculated values
* final energy: -8.08 eV per atom
* ρ: 6.10 g/cm³
* DOS at the Fermi energy: 0.71 states/eV/atom
* formation energy from raw total energies: -5.3 eV per formula unit